This record from Alexandria via LeMat-Bulk describes LiNiPO4 after structural relaxation. The functional is GGA-PBEsol.

Values from the calculation:
Uncorrected formation energy ... -1788 meV per atom
Spin magnetization ... 12.00 μB/cell
Distance to the lowest polymorph of the same formula ... 62 meV per atom

Unit cell a=8.263 b=8.263 c=8.263 alpha=106.44 beta=106.44 gamma=106.44
Fractional positions:
P: 0.387 0.795 0.564
P: 0.878 0.086 0.282
P: 0.282 0.878 0.086
P: 0.795 0.564 0.387
P: 0.086 0.282 0.878
P: 0.564 0.387 0.795
O: 0.654 0.366 0.318
O: 0.021 0.080 0.746
O: 0.642 0.596 0.916
O: 0.318 0.654 0.366
O: 0.366 0.318 0.654
O: 0.352 0.685 0.685
O: 0.916 0.642 0.596
O: 0.770 0.083 0.407
O: 0.953 0.298 0.977
O: 0.277 0.918 0.576
O: 0.281 0.350 0.030
O: 0.407 0.770 0.083
O: 0.977 0.953 0.298
O: 0.685 0.352 0.685
O: 0.918 0.576 0.277
O: 0.746 0.021 0.080
O: 0.685 0.685 0.352
O: 0.298 0.977 0.953
O: 0.596 0.916 0.642
O: 0.030 0.281 0.350
O: 0.083 0.407 0.770
O: 0.080 0.746 0.021
O: 0.576 0.277 0.918
O: 0.350 0.030 0.281
Ni: 0.080 0.454 0.236
Ni: 0.785 0.927 0.543
Ni: 0.454 0.236 0.080
Ni: 0.236 0.080 0.454
Ni: 0.927 0.543 0.785
Ni: 0.543 0.785 0.927
Li: 0.609 0.198 0.436
Li: 0.126 0.892 0.713
Li: 0.436 0.609 0.198
Li: 0.892 0.713 0.126
Li: 0.198 0.436 0.609
Li: 0.713 0.126 0.892


This record from Alexandria via LeMat-Bulk describes Li3NiP2O8 after structural relaxation. The functional is GGA-PBEsol.

Values from the calculation:
Uncorrected formation energy ... -2023 meV per atom
Spin magnetization ... 3.83 μB/cell
Distance to the lowest polymorph of the same formula ... 0 meV per atom

Unit cell a=4.715 b=6.287 c=17.659 alpha=90.00 beta=90.00 gamma=93.51
Fractional positions:
O: 0.061 0.136 0.669
O: 0.023 0.535 0.690
O: 0.523 0.035 0.810
O: 0.143 0.564 0.068
O: 0.939 0.864 0.331
O: 0.439 0.364 0.169
O: 0.612 0.805 0.699
O: 0.107 0.275 0.438
O: 0.001 0.863 0.798
O: 0.857 0.436 0.932
O: 0.362 0.533 0.570
O: 0.112 0.305 0.801
O: 0.999 0.137 0.202
O: 0.290 0.777 0.950
O: 0.393 0.225 0.938
O: 0.643 0.064 0.432
O: 0.607 0.775 0.062
O: 0.893 0.725 0.562
O: 0.561 0.636 0.831
O: 0.499 0.637 0.298
O: 0.638 0.467 0.430
O: 0.138 0.967 0.070
O: 0.477 0.965 0.190
O: 0.862 0.033 0.930
O: 0.388 0.195 0.301
O: 0.790 0.277 0.550
O: 0.357 0.936 0.568
O: 0.888 0.695 0.199
O: 0.501 0.363 0.702
O: 0.977 0.465 0.310
O: 0.210 0.723 0.450
O: 0.710 0.223 0.050
Li: 0.279 0.986 0.385
Li: 0.224 0.224 0.560
Li: 0.221 0.514 0.885
Li: 0.813 0.148 0.306
Li: 0.724 0.724 0.940
Li: 0.687 0.352 0.806
Li: 0.776 0.776 0.440
Li: 0.313 0.648 0.194
Li: 0.187 0.852 0.694
Li: 0.779 0.486 0.115
Li: 0.276 0.276 0.060
Li: 0.721 0.014 0.615
P: 0.718 0.229 0.963
P: 0.282 0.771 0.037
P: 0.329 0.171 0.214
P: 0.218 0.729 0.537
P: 0.671 0.829 0.786
P: 0.829 0.671 0.286
P: 0.171 0.329 0.714
P: 0.782 0.271 0.463
Ni: 0.695 0.538 0.629
Ni: 0.195 0.038 0.871
Ni: 0.805 0.962 0.129
Ni: 0.305 0.462 0.371


This record from Alexandria via LeMat-Bulk describes LiNi4P3O12 after structural relaxation. The functional is GGA-PBEsol.

Values from the calculation:
Uncorrected formation energy ... -1563 meV per atom
Spin magnetization ... 31.26 μB/cell
Distance to the lowest polymorph of the same formula ... 31 meV per atom

Unit cell a=6.274 b=8.846 c=14.239 alpha=90.21 beta=90.00 gamma=90.00
Fractional positions:
O: 0.000 0.132 0.268
O: 0.797 0.619 0.717
O: 0.000 0.147 0.932
O: 0.699 0.377 0.616
O: 0.500 0.864 0.399
O: 0.294 0.881 0.221
O: 0.500 0.872 0.071
O: 0.000 0.631 0.901
O: 0.703 0.379 0.947
O: 0.000 0.856 0.359
O: 0.500 0.145 0.299
O: 0.500 0.139 0.649
O: 0.295 0.880 0.553
O: 0.799 0.618 0.384
O: 0.201 0.618 0.384
O: 0.500 0.865 0.735
O: 0.500 0.368 0.102
O: 0.796 0.619 0.054
O: 0.795 0.114 0.781
O: 0.794 0.123 0.445
O: 0.000 0.357 0.493
O: 0.000 0.640 0.231
O: 0.706 0.877 0.887
O: 0.706 0.881 0.221
O: 0.706 0.380 0.276
O: 0.000 0.130 0.599
O: 0.294 0.380 0.276
O: 0.500 0.375 0.768
O: 0.205 0.114 0.781
O: 0.500 0.379 0.426
O: 0.705 0.880 0.553
O: 0.500 0.645 0.516
O: 0.294 0.877 0.887
O: 0.200 0.119 0.116
O: 0.500 0.643 0.850
O: 0.000 0.856 0.025
O: 0.000 0.637 0.565
O: 0.203 0.619 0.717
O: 0.301 0.377 0.616
O: 0.206 0.123 0.445
O: 0.000 0.358 0.136
O: 0.297 0.379 0.947
O: 0.500 0.143 0.993
O: 0.800 0.119 0.116
O: 0.500 0.645 0.201
O: 0.204 0.619 0.054
O: 0.000 0.857 0.691
O: 0.000 0.356 0.799
Ni: 0.250 0.007 0.333
Ni: 0.751 0.505 0.167
Ni: 0.253 0.502 0.832
Ni: 0.250 0.995 0.000
Ni: 0.750 0.995 0.000
Ni: 0.500 0.647 0.349
Ni: 0.500 0.149 0.150
Ni: 0.249 0.505 0.167
Ni: 0.750 0.007 0.333
Ni: 0.747 0.502 0.832
Ni: 0.744 0.999 0.669
Ni: 0.746 0.494 0.498
Ni: 0.000 0.356 0.989
Ni: 0.000 0.346 0.647
Ni: 0.254 0.494 0.498
Ni: 0.256 0.999 0.669
P: 0.500 0.823 0.175
P: 0.000 0.177 0.489
P: 0.500 0.321 0.994
P: 0.500 0.825 0.508
P: 0.000 0.677 0.009
P: 0.500 0.312 0.666
P: 0.000 0.682 0.337
P: 0.000 0.681 0.671
P: 0.500 0.326 0.321
P: 0.000 0.184 0.165
P: 0.000 0.177 0.821
P: 0.500 0.820 0.842
Li: 0.000 0.846 0.171
Li: 0.000 0.848 0.506
Li: 0.500 0.654 0.684
Li: 0.000 0.840 0.840


This record from Alexandria via LeMat-Bulk describes Li2Ni3P4O14 after structural relaxation. The functional is GGA-PBEsol.

Values from the calculation:
Uncorrected formation energy ... -1815 meV per atom
Spin magnetization ... 12.01 μB/cell
Distance to the lowest polymorph of the same formula ... 32 meV per atom

Unit cell a=5.159 b=6.329 c=15.432 alpha=81.12 beta=82.90 gamma=72.17
Fractional positions:
P: 0.198 0.110 0.796
P: 0.337 0.425 0.318
P: 0.474 0.757 0.935
P: 0.300 0.783 0.543
P: 0.663 0.575 0.682
P: 0.802 0.890 0.204
P: 0.526 0.243 0.065
P: 0.700 0.217 0.457
Ni: 0.786 0.043 0.669
Ni: 0.214 0.957 0.331
Ni: 0.066 0.643 0.816
Ni: 0.934 0.357 0.184
Ni: 0.215 0.278 0.596
Ni: 0.785 0.722 0.404
O: 0.001 0.024 0.212
O: 0.680 0.165 0.980
O: 0.127 0.989 0.587
O: 0.958 0.680 0.160
O: 0.584 0.702 0.587
O: 0.999 0.976 0.788
O: 0.829 0.405 0.446
O: 0.349 0.591 0.905
O: 0.418 0.545 0.740
O: 0.427 0.972 0.860
O: 0.042 0.320 0.840
O: 0.376 0.146 0.711
O: 0.599 0.149 0.553
O: 0.171 0.595 0.554
O: 0.582 0.455 0.260
O: 0.320 0.835 0.020
O: 0.185 0.283 0.285
O: 0.401 0.851 0.447
O: 0.573 0.028 0.140
O: 0.146 0.657 0.336
O: 0.787 0.668 0.933
O: 0.651 0.409 0.095
O: 0.815 0.717 0.715
O: 0.624 0.854 0.289
O: 0.854 0.343 0.664
O: 0.873 0.011 0.413
O: 0.213 0.332 0.067
O: 0.416 0.298 0.413
Li: 0.616 0.316 0.863
Li: 0.978 0.314 0.976
Li: 0.384 0.684 0.137
Li: 0.022 0.686 0.024


This record from Alexandria via LeMat-Bulk describes Li3NiP2O8 after structural relaxation. The functional is GGA-PBEsol.

Values from the calculation:
Uncorrected formation energy ... -2017 meV per atom
Spin magnetization ... 0.99 μB/cell
Distance to the lowest polymorph of the same formula ... 6 meV per atom

Unit cell a=4.773 b=4.773 c=6.159 alpha=89.72 beta=89.72 gamma=67.44
Fractional positions:
Ni: 0.500 0.500 0.000
O: 0.738 0.738 0.024
O: 0.255 0.255 0.565
O: 0.794 0.264 0.773
O: 0.736 0.206 0.227
O: 0.206 0.736 0.227
O: 0.264 0.794 0.773
O: 0.262 0.262 0.976
O: 0.745 0.745 0.435
P: 0.849 0.849 0.230
P: 0.151 0.151 0.770
Li: 0.821 0.821 0.726
Li: 0.500 0.500 0.500
Li: 0.179 0.179 0.274


This record from Alexandria via LeMat-Bulk describes LiNiPO4 after structural relaxation. The functional is GGA-PBEsol.

Values from the calculation:
Uncorrected formation energy ... -1781 meV per atom
Spin magnetization ... 8.02 μB/cell
Distance to the lowest polymorph of the same formula ... 69 meV per atom

Unit cell a=5.135 b=7.363 c=8.412 alpha=100.91 beta=91.54 gamma=98.55
Fractional positions:
O: 0.132 0.005 0.837
O: 0.203 0.641 0.687
O: 0.062 0.811 0.469
O: 0.663 0.670 0.195
O: 0.868 0.995 0.163
O: 0.308 0.535 0.403
O: 0.554 0.838 0.555
O: 0.797 0.359 0.313
O: 0.938 0.189 0.531
O: 0.660 0.737 0.919
O: 0.337 0.330 0.805
O: 0.098 0.719 0.058
O: 0.446 0.162 0.445
O: 0.340 0.263 0.081
O: 0.692 0.465 0.597
O: 0.902 0.281 0.942
Li: 0.885 0.968 0.643
Li: 0.115 0.032 0.357
Li: 0.293 0.536 0.168
Li: 0.707 0.464 0.832
P: 0.822 0.784 0.084
P: 0.178 0.216 0.916
P: 0.282 0.717 0.531
P: 0.718 0.283 0.469
Ni: 0.283 0.375 0.588
Ni: 0.318 0.811 0.896
Ni: 0.682 0.189 0.104
Ni: 0.717 0.625 0.412


This record from Alexandria via LeMat-Bulk describes Li3Ni2P3O12 after structural relaxation. The functional is GGA-PBEsol.

Values from the calculation:
Uncorrected formation energy ... -1863 meV per atom
Spin magnetization ... 4.05 μB/cell
Distance to the lowest polymorph of the same formula ... 12 meV per atom

Unit cell a=8.226 b=8.226 c=8.680 alpha=61.72 beta=61.72 gamma=60.00
Fractional positions:
O: 0.499 0.479 0.199
O: 0.796 0.017 0.568
O: 0.176 0.501 0.801
O: 0.876 0.119 0.751
O: 0.881 0.747 0.249
O: 0.824 0.499 0.199
O: 0.784 0.836 0.910
O: 0.983 0.381 0.432
O: 0.521 0.176 0.801
O: 0.501 0.521 0.801
O: 0.124 0.881 0.249
O: 0.119 0.253 0.751
O: 0.470 0.784 0.910
O: 0.381 0.204 0.432
O: 0.017 0.619 0.568
O: 0.530 0.216 0.090
O: 0.216 0.164 0.090
O: 0.204 0.983 0.432
O: 0.619 0.796 0.568
O: 0.253 0.876 0.751
O: 0.836 0.470 0.910
O: 0.479 0.824 0.199
O: 0.747 0.124 0.249
O: 0.164 0.530 0.090
P: 0.959 0.533 0.251
P: 0.041 0.467 0.749
P: 0.533 0.258 0.251
P: 0.742 0.041 0.749
P: 0.258 0.959 0.251
P: 0.467 0.742 0.749
Ni: 0.858 0.858 0.427
Ni: 0.142 0.142 0.573
Ni: 0.348 0.348 0.955
Ni: 0.652 0.652 0.045
Li: 0.326 0.076 0.855
Li: 0.076 0.743 0.855
Li: 0.743 0.326 0.855
Li: 0.924 0.257 0.145
Li: 0.257 0.674 0.145
Li: 0.674 0.924 0.145


This record from Alexandria via LeMat-Bulk describes Li2NiP5O15 after structural relaxation. The functional is GGA-PBEsol.

Values from the calculation:
Uncorrected formation energy ... -2005 meV per atom
Spin magnetization ... 2.00 μB/cell
Distance to the lowest polymorph of the same formula ... 0 meV per atom

Unit cell a=5.081 b=11.626 c=11.282 alpha=90.00 beta=92.46 gamma=90.00
Fractional positions:
O: 0.038 0.521 0.337
O: 0.042 0.889 0.305
O: 0.666 0.096 0.027
O: 0.476 0.717 0.069
O: 0.864 0.584 0.057
O: 0.830 0.097 0.475
O: 0.454 0.521 0.167
O: 0.954 0.479 0.667
O: 0.318 0.131 0.553
O: 0.609 0.955 0.656
O: 0.178 0.130 0.949
O: 0.629 0.585 0.446
O: 0.019 0.718 0.434
O: 0.976 0.283 0.569
O: 0.886 0.954 0.846
O: 0.818 0.869 0.053
O: 0.386 0.046 0.346
O: 0.330 0.903 0.975
O: 0.364 0.416 0.557
O: 0.955 0.111 0.696
O: 0.519 0.282 0.934
O: 0.247 0.321 0.751
O: 0.166 0.904 0.527
O: 0.747 0.679 0.251
O: 0.542 0.111 0.805
O: 0.538 0.479 0.837
O: 0.109 0.045 0.156
O: 0.129 0.415 0.946
O: 0.455 0.889 0.196
O: 0.678 0.870 0.449
Ni: 0.498 0.000 0.501
Ni: 0.998 0.000 0.001
Li: 0.629 0.523 0.605
Li: 0.865 0.523 0.898
Li: 0.129 0.477 0.105
Li: 0.365 0.477 0.398
P: 0.473 0.147 0.938
P: 0.248 0.974 0.251
P: 0.523 0.853 0.064
P: 0.639 0.614 0.133
P: 0.023 0.147 0.564
P: 0.748 0.026 0.751
P: 0.354 0.386 0.870
P: 0.854 0.614 0.370
P: 0.973 0.853 0.438
P: 0.139 0.386 0.633